A relaxed structure of Ho2H5Rh2. Source: the Alexandria database, functional PBE-GGA.

Cell lengths 5.047, 14.639, 5.096 Å; angles 90.00, 90.00, 90.00 degrees
Space group Imma (No. 74)
Symmetry-distinct sites (fractional):
Ho 0.000 0.130 0.000
H 0.000 0.126 0.485
H 0.250 0.000 0.250
H 0.250 0.250 0.750
Rh 0.000 0.000 0.500
Rh 0.000 0.250 0.468

## Properties
E: -184.284 eV for the cell shown
N(E_F): 2.2 states/eV/f.u.

A relaxed structure of Er3Mg12Cd. Source: the Alexandria database, functional PBE-GGA.

Cell lengths 4.639, 4.639, 18.002 Å; angles 90.00, 90.00, 90.00 degrees
Space group P4/mmm (No. 123)
Symmetry-distinct sites (fractional):
Er 0.000 0.000 0.000
Er 0.000 0.000 0.261
Mg 0.000 0.500 0.130
Mg 0.000 0.500 0.389
Mg 0.500 0.500 0.000
Mg 0.500 0.500 0.264
Mg 0.500 0.500 0.500
Cd 0.000 0.000 0.500

## Properties
E: -34.616 eV for the cell shown
N(E_F): 7.2 states/eV/f.u.
Energy of formation from the pure elements: -55 meV per atom